A geometry-optimized NdErNiIr structure, computed with PBE.

```
NdErNiIr
1.0
0.000 3.456 3.456
3.456 0.000 3.456
3.456 3.456 0.000
Nd Er Ni Ir
1 1 1 1
Direct
0.000 0.000 0.000
0.500 0.500 0.500
0.750 0.750 0.750
0.250 0.250 0.250
```

The energy relative to the elements is -0.54 eV/atom. The symmetry is F-43m, No. 216. The crystal system is cubic. For the energy above the most stable polymorph in this dataset, the calculation gives 53 meV/atom.


A geometry-optimized NdErNiIr structure, computed with PBE.

```
NdErNiIr
1.0
4.092 0.000 0.000
0.000 1.956 5.403
0.000 -1.956 5.403
Nd Er Ni Ir
1 1 1 1
Direct
0.000 0.000 0.000
0.500 0.717 0.717
0.500 0.426 0.426
0.000 0.276 0.276
```

The energy relative to the elements is -0.59 eV/atom. The symmetry is Amm2, No. 38. The crystal system is orthorhombic. For the energy above the most stable polymorph in this dataset, the calculation gives 0 meV/atom.


A geometry-optimized NdErIrPt structure, computed with PBE.

```
NdErIrPt
1.0
0.000 3.507 3.507
3.507 0.000 3.507
3.507 3.507 0.000
Nd Er Ir Pt
1 1 1 1
Direct
0.000 0.000 0.000
0.500 0.500 0.500
0.750 0.750 0.750
0.250 0.250 0.250
```

The energy relative to the elements is -0.92 eV/atom. The symmetry is F-43m, No. 216. The crystal system is cubic.


We obtain total DFT energy (no corrections) values of -6.53, -6.59, -6.97 eV/atom for the records listed above, in that order.